LaCeMgTl (PBE-GGA, optimized geometry); crystal system = cubic; energy of formation = -0.1600 eV per atom
1.0
-0.859 -1.036 5.385
1.723 -4.790 2.214
4.280 -0.043 3.535
Mg Ce La Tl
1 1 1 1
Direct
0.000 0.000 0.000
0.250 0.250 0.250
0.750 0.750 0.750
0.500 0.500 0.500


LaCe2MgTl4 (PBE-GGA, optimized geometry); crystal system = trigonal; energy of formation = -0.2553 eV per atom
1.0
5.370 0.000 0.000
2.685 4.651 0.000
2.685 1.550 9.346
Ce Tl La Mg
2 4 1 1
Direct
0.241 0.241 0.278
0.759 0.759 0.722
0.378 0.378 0.866
0.875 0.875 0.375
0.622 0.622 0.134
0.125 0.125 0.625
0.000 0.000 0.000
0.500 0.500 0.500


LaCeYMg (PBE-GGA, optimized geometry); crystal system = cubic; energy of formation = 0.1380 eV per atom
1.0
5.596 0.000 0.000
2.798 4.846 0.000
2.798 1.615 4.569
Y Mg La Ce
1 1 1 1
Direct
0.000 0.000 0.000
0.750 0.750 0.750
0.500 0.500 0.500
0.250 0.250 0.250


LaCeMgZr (PBE-GGA, optimized geometry); crystal system = cubic; energy of formation = 0.1706 eV per atom
1.0
-0.470 5.396 0.133
-4.583 2.362 -1.664
-3.301 2.344 3.600
Mg Ce La Zr
1 1 1 1
Direct
0.000 0.000 0.000
0.250 0.250 0.250
0.750 0.750 0.750
0.500 0.500 0.500


LaCeMn4 (PBE-GGA, optimized geometry); crystal system = cubic; energy of formation = 0.1834 eV per atom
1.0
5.230 0.000 0.000
2.615 4.529 0.000
2.615 1.510 4.270
Mn Ce La
4 1 1
Direct
0.121 0.626 0.626
0.626 0.626 0.121
0.626 0.121 0.626
0.626 0.626 0.626
0.000 0.000 0.000
0.250 0.250 0.250


LaCe3Mn (PBE-GGA, optimized geometry); crystal system = cubic; energy of formation = 0.1509 eV per atom
1.0
5.190 0.000 0.000
0.000 5.190 0.000
0.000 0.000 5.190
Mn Ce La
1 3 1
Direct
0.000 0.000 0.000
0.500 0.000 0.000
0.000 0.000 0.500
0.000 0.500 0.000
0.500 0.500 0.500


LaCe2MnN5 (PBE-GGA, optimized geometry); raw formation energy = -1.195 eV/atom; crystal system = tetragonal
1.0
-3.004 3.839 4.532
0.204 -5.009 4.378
6.385 2.361 -2.656
Ce N Mn La
4 10 2 2
Direct
0.325 0.825 0.000
0.825 0.675 0.000
0.675 0.175 0.000
0.175 0.325 0.000
0.213 0.998 0.711
0.002 0.502 0.289
0.500 0.500 0.000
0.713 0.213 0.711
0.998 0.498 0.711
0.787 0.002 0.289
0.287 0.787 0.289
0.502 0.287 0.289
0.498 0.713 0.711
0.000 0.000 0.000
0.750 0.250 0.500
0.250 0.750 0.500
0.250 0.250 0.500
0.750 0.750 0.500


LaCe2MnN4 (PBE-GGA, optimized geometry); raw formation energy = -1.170 eV/atom; crystal system = orthorhombic
1.0
-3.131 0.554 -1.512
0.303 -5.999 1.276
-4.779 2.021 10.639
Ce N Mn La
4 8 2 2
Direct
0.368 0.737 0.949
0.632 0.263 0.051
0.368 0.737 0.551
0.632 0.263 0.449
0.569 0.138 0.250
0.733 0.467 0.877
0.267 0.533 0.377
0.000 0.000 0.000
0.431 0.862 0.750
0.000 0.000 0.500
0.733 0.467 0.623
0.267 0.533 0.123
0.835 0.669 0.750
0.165 0.331 0.250
0.901 0.801 0.250
0.099 0.199 0.750


no.,calculated volume (Å³ per atom)
1,30.24
2,29.18
3,30.98
4,28.12
5,16.86
6,27.96
7,13.76
8,15.32